An optimized crystal structure of YCuAg2. Source: OQMD via LeMat-Bulk, functional GGA-PBE.

Output
Formation energy   -0.169 eV/atom

a b c (Å): 4.796 4.796 4.796
angles (deg): 60.00 60.00 60.00
Fractional positions:
Y: 0.000 0.000 0.000
Cu: 0.250 0.250 0.250
Ag: 0.500 0.500 0.500
Ag: 0.750 0.750 0.750



An optimized crystal structure of YZnCuAg. Source: OQMD via LeMat-Bulk, functional GGA-PBE.

Output
Formation energy   -0.140 eV/atom
E above lowest polymorph   0.057 eV per atom

a b c (Å): 4.731 4.731 4.731
angles (deg): 60.00 60.00 60.00
Fractional positions:
Y: 0.000 0.000 0.000
Zn: 0.250 0.250 0.250
Cu: 0.500 0.500 0.500
Ag: 0.750 0.750 0.750



V, respectively: 78; 75 Å³ per cell.